# 1
Material: Ag2Bi2H
Method: DFT, PBE
State: optimized geometry

Cell lengths 3.757, 3.757, 8.632 Å; angles 77.43, 77.43, 90.00 degrees
Element x y z (fractional)
H1 0.000 0.000 0.000
Bi1 0.400 0.400 0.199
Bi2 0.600 0.600 0.801
Ag1 0.750 0.250 0.500
Ag2 0.250 0.750 0.500

Calculated values
- Crystal system: tetragonal

***

# 2
Material: AgHgBi2H
Method: DFT, PBE
State: optimized geometry

Cell lengths 5.801, 5.801, 3.470 Å; angles 90.00, 90.00, 90.00 degrees
Element x y z (fractional)
H1 0.000 0.000 0.500
Bi1 0.000 0.500 0.000
Bi2 0.500 0.000 0.000
Ag1 0.000 0.000 0.000
Hg1 0.500 0.500 0.500

Calculated values
- Crystal system: tetragonal

***

# 3
Material: AgBiH6Ir2
Method: DFT, PBE
State: optimized geometry

Cell lengths 7.408, 7.408, 4.919 Å; angles 97.86, 97.86, 117.56 degrees
Element x y z (fractional)
Ag1 0.720 0.280 0.250
Ag2 0.280 0.720 0.750
Bi1 0.116 0.884 0.250
Bi2 0.884 0.116 0.750
H1 0.065 0.422 0.195
H2 0.578 0.935 0.305
H3 0.935 0.578 0.805
H4 0.422 0.065 0.695
H5 0.309 0.331 0.158
H6 0.669 0.691 0.342
H7 0.691 0.669 0.842
H8 0.331 0.309 0.658
H9 0.322 0.526 0.486
H10 0.474 0.678 0.014
H11 0.678 0.474 0.514
H12 0.526 0.322 0.986
Ir1 0.285 0.131 0.870
Ir2 0.869 0.715 0.630
Ir3 0.715 0.869 0.130
Ir4 0.131 0.285 0.370

Calculated values
- Crystal system: monoclinic

***

# 4
Material: MgAgBiH2
Method: DFT, PBE
State: optimized geometry

Cell lengths 3.967, 6.350, 3.967 Å; angles 90.00, 90.00, 90.00 degrees
Element x y z (fractional)
H1 0.000 0.000 0.500
H2 0.500 0.000 0.000
Mg1 0.000 0.000 0.000
Bi1 0.000 0.500 0.000
Ag1 0.500 0.500 0.500

Calculated values
- Crystal system: tetragonal

***

# 5
Material: NaAgBiH2
Method: DFT, PBE
State: optimized geometry

Cell lengths 4.118, 6.652, 4.118 Å; angles 90.00, 90.00, 90.00 degrees
Element x y z (fractional)
Na1 0.000 0.000 0.000
Bi1 0.000 0.500 0.000
Ag1 0.500 0.500 0.500
H1 0.000 0.000 0.500
H2 0.500 0.000 0.000

Calculated values
- Crystal system: tetragonal

***

# 6
Material: Na2AgBiH
Method: DFT, PBE
State: optimized geometry

Cell lengths 4.818, 4.818, 4.548 Å; angles 90.00, 90.00, 90.00 degrees
Element x y z (fractional)
Na1 0.000 0.500 0.000
Na2 0.500 0.000 0.000
Bi1 0.000 0.000 0.500
Ag1 0.500 0.500 0.500
H1 0.000 0.000 0.000

Calculated values
- Crystal system: tetragonal

***

# 7
Material: Na2AgBiH
Method: DFT, PBE
State: optimized geometry

Cell lengths 5.385, 5.385, 3.667 Å; angles 90.00, 90.00, 90.00 degrees
Element x y z (fractional)
Na1 0.000 0.500 0.000
Na2 0.500 0.000 0.000
Bi1 0.500 0.500 0.500
Ag1 0.000 0.000 0.500
H1 0.000 0.000 0.000

Calculated values
- Crystal system: tetragonal

***

# 8
Material: NiAgBi2H
Method: DFT, PBE
State: optimized geometry

Cell lengths 5.423, 5.423, 3.264 Å; angles 90.00, 90.00, 90.00 degrees
Element x y z (fractional)
Ni1 0.000 0.000 0.000
Bi1 0.000 0.500 0.000
Bi2 0.500 0.000 0.000
Ag1 0.500 0.500 0.500
H1 0.000 0.000 0.500

Calculated values
- Crystal system: tetragonal

***

# 9
Material: AgBi2HO
Method: DFT, PBE
State: optimized geometry

Cell lengths 5.578, 3.936, 5.578 Å; angles 90.00, 90.00, 90.00 degrees
Element x y z (fractional)
O1 0.000 0.500 0.000
H1 0.500 0.500 0.500
Bi1 0.000 0.000 0.500
Bi2 0.500 0.000 0.000
Ag1 0.000 0.000 0.000

Calculated values
- Crystal system: tetragonal

***

# 10
Material: AgBiHPb2
Method: DFT, PBE
State: optimized geometry

Cell lengths 5.972, 5.972, 3.499 Å; angles 90.00, 90.00, 90.00 degrees
Element x y z (fractional)
Pb1 0.000 0.500 0.000
Pb2 0.500 0.000 0.000
H1 0.000 0.000 0.500
Bi1 0.500 0.500 0.500
Ag1 0.000 0.000 0.000

Calculated values
- Crystal system: tetragonal

***

# 11
Material: AgBi2HPb
Method: DFT, PBE
State: optimized geometry

Cell lengths 5.968, 5.968, 3.487 Å; angles 90.00, 90.00, 90.00 degrees
Element x y z (fractional)
Pb1 0.500 0.500 0.500
H1 0.000 0.000 0.500
Bi1 0.000 0.500 0.000
Bi2 0.500 0.000 0.000
Ag1 0.000 0.000 0.000

Calculated values
- Crystal system: tetragonal

***

# 12
Material: AgBiHPb2
Method: DFT, PBE
State: optimized geometry

Cell lengths 5.218, 5.218, 4.329 Å; angles 90.00, 90.00, 90.00 degrees
Element x y z (fractional)
Pb1 0.000 0.500 0.000
Pb2 0.500 0.000 0.000
H1 0.000 0.000 0.000
Bi1 0.500 0.500 0.500
Ag1 0.000 0.000 0.500

Calculated values
- Crystal system: tetragonal

***

Values for mass density, g/cm3, ordered as above
9.093; 10.346; 10.177; 5.703; 5.034; 5.722; 5.681; 10.128; 7.360; 9.745; 9.816; 10.316
Values for total moment, μB per formula unit, ordered as above
0.0; 0.0; 0.0; 0.0; 1.1; 0.0; 0.0; 0.0; 0.0; 0.0; 0.0; 0.0
Values for E_tot, Ry/atom, ordered as above
-0.2096; -0.1924; -0.3186; -0.1976; -0.1636; -0.1859; -0.1971; -0.2789; -0.2200; -0.2431; -0.2458; -0.2405